No. 1
A plane-wave DFT calculation with PBE-GGA was carried out for SnP2Rh2 after structural relaxation.

POSCAR file:
```
SnP2Rh2
1.0
4.1985 0.0000 0.0000
0.0000 4.1985 0.0000
2.0992 2.0992 4.6202
P Rh Sn
2 2 1
direct
0.3792 0.3792 0.2415 P
0.6208 0.6208 0.7585 P
0.7500 0.2500 0.5000 Rh
0.2500 0.7500 0.5000 Rh
0.0000 0.0000 0.0000 Sn
```

## Properties
Space group: I4/mmm (139)



No. 2
A plane-wave DFT calculation with PBE-GGA was carried out for SnPRh3 after structural relaxation.

POSCAR file:
```
SnPRh3
1.0
-1.4400 3.7512 -1.8538
1.5985 -1.3186 -3.9099
-3.8669 -1.9420 -0.9260
Rh Sn P
3 1 1
direct
0.0000 0.0000 0.5000 Rh
0.0000 0.5000 0.0000 Rh
0.5000 0.0000 0.0000 Rh
0.5000 0.5000 0.5000 Sn
0.0000 0.0000 0.0000 P
```

## Properties
Space group: Pm-3m (221)



No. 3
A plane-wave DFT calculation with PBE-GGA was carried out for SnP2Rh2 after structural relaxation.

POSCAR file:
```
SnP2Rh2
1.0
7.5233 0.0000 0.0000
0.0000 7.5233 0.0000
0.0000 0.0000 2.9774
Sn P Rh
2 4 4
direct
0.0000 0.0000 0.0000 Sn
0.5000 0.5000 0.0000 Sn
0.3705 0.8705 0.0000 P
0.8705 0.6295 0.0000 P
0.1295 0.3705 0.0000 P
0.6295 0.1295 0.0000 P
0.6294 0.8706 0.5000 Rh
0.8706 0.3706 0.5000 Rh
0.1294 0.6294 0.5000 Rh
0.3706 0.1294 0.5000 Rh
```

## Properties
Space group: P4/mbm (127)



No. 4
A plane-wave DFT calculation with PBE-GGA was carried out for SnP4Rh2 after structural relaxation.

POSCAR file:
```
SnP4Rh2
1.0
4.8641 0.0000 0.0000
0.0000 4.8641 0.0000
2.4321 2.4321 6.1954
Rh P Sn
2 4 1
direct
0.6045 0.6045 0.7910 Rh
0.3955 0.3955 0.2090 Rh
0.7746 0.7746 0.4509 P
0.5000 0.0000 0.0000 P
0.0000 0.5000 0.0000 P
0.2254 0.2254 0.5491 P
0.0000 0.0000 0.0000 Sn
```

## Properties
Space group: I4/mmm (139)



No. 5
A plane-wave DFT calculation with PBE-GGA was carried out for TaSnPRh2 after structural relaxation.

POSCAR file:
```
TaSnPRh2
1.0
4.7498 0.0000 0.0000
0.0000 5.1603 0.0000
0.0000 0.0000 4.7498
Ta Rh P Sn
1 2 1 1
direct
0.0000 0.5000 0.0000 Ta
0.5000 0.0000 0.0000 Rh
0.0000 0.0000 0.5000 Rh
0.5000 0.5000 0.5000 P
0.0000 0.0000 0.0000 Sn
```

## Properties
Space group: P4/mmm (123)



No. 6
A plane-wave DFT calculation with PBE-GGA was carried out for Tb3SnP2Rh9 after structural relaxation.

POSCAR file:
```
Tb3SnP2Rh9
1.0
-5.1219 -0.4006 3.2263
4.4661 -4.0085 0.8886
3.6627 5.5218 6.5003
Rh Tb Sn P
9 3 1 2
direct
0.0000 0.5000 0.0000 Rh
0.1497 0.8503 0.2674 Rh
0.1497 0.2995 0.2674 Rh
0.8503 0.1497 0.7326 Rh
0.5000 0.0000 0.0000 Rh
0.8503 0.7005 0.7326 Rh
0.5000 0.5000 0.0000 Rh
0.2995 0.1497 0.7326 Rh
0.7005 0.8503 0.2674 Rh
0.6667 0.3333 0.2742 Tb
0.0000 0.0000 0.0000 Tb
0.3333 0.6667 0.7258 Tb
0.0000 0.0000 0.5000 Sn
0.3333 0.6667 0.1594 P
0.6667 0.3333 0.8406 P
```

## Properties
Space group: P-3m1 (164)



No. 7
A plane-wave DFT calculation with PBE-GGA was carried out for TbSnP2Rh5 after structural relaxation.

POSCAR file:
```
TbSnP2Rh5
1.0
-1.2476 -3.3352 1.9568
-0.3135 -1.9621 -3.5441
9.5532 -3.0716 0.8554
Tb Rh P Sn
1 5 2 1
direct
0.0000 0.0000 0.5000 Tb
0.5000 0.5000 0.5000 Rh
0.5000 0.0000 0.8234 Rh
0.0000 0.5000 0.8234 Rh
0.0000 0.5000 0.1766 Rh
0.5000 0.0000 0.1766 Rh
0.5000 0.5000 0.7235 P
0.5000 0.5000 0.2765 P
0.0000 0.0000 0.0000 Sn
```

## Properties
Space group: P4/mmm (123)



No. 8
A plane-wave DFT calculation with PBE-GGA was carried out for Tb2Sn2PRh4 after structural relaxation.

POSCAR file:
```
Tb2Sn2PRh4
1.0
-5.2015 0.8466 -3.4522
-0.3633 -2.7085 5.6764
2.9244 4.9384 2.5980
Sn Rh Tb P
2 4 2 1
direct
0.5000 0.7500 0.2500 Sn
0.5000 0.2500 0.7500 Sn
0.0000 0.7446 0.2554 Rh
0.0000 0.2554 0.7446 Rh
0.4893 0.7446 0.7446 Rh
0.5107 0.2554 0.2554 Rh
0.0000 0.2968 0.2968 Tb
0.0000 0.7032 0.7032 Tb
0.0000 0.0000 0.0000 P
```

## Properties
Space group: I4/mmm (139)



The calculation returns the following energy of formation from the pure elements values, one per record and in order: -0.387, -0.119, -0.079, 0.615, 1.624, -0.660, -0.701, -0.484 eV/atom.